Compound: CsMnTeO6
Source: Alexandria
Functional: PBE with a Hubbard U
Structure: relaxed

POSCAR file:
```
CsMnTeO6
1.0
2.581 -4.473 0.000
2.581 4.473 0.000
-0.014 0.000 6.907
Cs Mn Te O
1 1 1 6
Direct
0.000 0.000 0.000 Cs
0.667 0.333 0.500 Mn
0.333 0.667 0.500 Te
0.390 0.004 0.340 O
0.391 0.386 0.660 O
0.614 0.609 0.340 O
0.615 0.005 0.660 O
0.995 0.385 0.340 O
0.996 0.610 0.660 O
```

Results
Symmetry: No. 5
Electronic total energy in eV/cell: -51.6
Crystal system: monoclinic
Total moment in μB per formula unit: 2.0